# SrW2Au PBE optimized geometry
data_SrW2Au
_chemical_formula_sum 'Sr1 W2 Au1'
_symmetry_space_group_name_H-M 'P 1'
_symmetry_Int_Tables_number 1
_cell_length_a 2.7357
_cell_length_b 5.2991
_cell_length_c 5.5799
_cell_angle_alpha 90.00
_cell_angle_beta 90.00
_cell_angle_gamma 90.00
loop_
_symmetry_equiv_pos_as_xyz
'x,y,z'
loop_
_atom_site_label
_atom_site_type_symbol
_atom_site_fract_x
_atom_site_fract_y
_atom_site_fract_z
Sr1 Sr 0.0000 0.0000 0.0000
W1 W 0.5000 0.5000 0.2445
W2 W 0.5000 0.5000 0.7555
Au1 Au 0.0000 0.0000 0.5000
# Space-group type = Pmmm, No. 47

---

# SrW3Au PBE optimized geometry
data_SrW3Au
_chemical_formula_sum 'Sr1 W3 Au1'
_symmetry_space_group_name_H-M 'P 1'
_symmetry_Int_Tables_number 1
_cell_length_a 4.7471
_cell_length_b 4.7471
_cell_length_c 4.7471
_cell_angle_alpha 90.00
_cell_angle_beta 90.00
_cell_angle_gamma 90.00
loop_
_symmetry_equiv_pos_as_xyz
'x,y,z'
loop_
_atom_site_label
_atom_site_type_symbol
_atom_site_fract_x
_atom_site_fract_y
_atom_site_fract_z
Sr1 Sr 0.0000 0.0000 0.0000
W1 W 0.0000 0.0000 0.5000
W2 W 0.0000 0.5000 0.0000
W3 W 0.5000 0.0000 0.0000
Au1 Au 0.5000 0.5000 0.5000
# Space-group type = Pm-3m, No. 221

---

Number 1: DFT total energy -26.58 eV per cell. Number 2: DFT total energy -25.85 eV per cell.